No. 1
Material: ReBiPd3
Method: DFT, PBE
State: optimized geometry

Computed properties:
Space-group type ... No. 221
Theoretical density ... 10.41 g cm⁻³
E above lowest polymorph ... 0 meV/atom

CIF file:
```
data_ReBiPd3
_chemical_formula_sum 'Re1 Bi1 Pd3'
_cell_length_a 4.848
_cell_length_b 4.848
_cell_length_c 4.848
_cell_angle_alpha 90.00
_cell_angle_beta 90.00
_cell_angle_gamma 90.00
_symmetry_space_group_name_H-M 'P 1'
_symmetry_Int_Tables_number 1
loop_
_symmetry_equiv_pos_as_xyz
'x,y,z'
loop_
_atom_site_label
_atom_site_fract_x
_atom_site_fract_y
_atom_site_fract_z
Re1 0.000 0.000 0.000
Bi1 0.500 0.500 0.500
Pd1 0.000 0.000 0.500
Pd2 0.000 0.500 0.000
Pd3 0.500 0.000 0.000
```

***

No. 2
Material: ErPu2Au4
Method: DFT, PBE
State: optimized geometry

Computed properties:
Space-group type ... No. 139
Theoretical density ... 13.80 g cm⁻³
Total energy ... -7.05 eV per atom

CIF file:
```
data_ErPu2Au4
_chemical_formula_sum 'Er1 Pu2 Au4'
_cell_length_a 7.814
_cell_length_b 7.814
_cell_length_c 7.814
_cell_angle_alpha 142.76
_cell_angle_beta 142.76
_cell_angle_gamma 53.69
_symmetry_space_group_name_H-M 'P 1'
_symmetry_Int_Tables_number 1
loop_
_symmetry_equiv_pos_as_xyz
'x,y,z'
loop_
_atom_site_label
_atom_site_fract_x
_atom_site_fract_y
_atom_site_fract_z
Er1 0.000 0.000 0.000
Pu1 0.263 0.263 0.000
Pu2 0.737 0.737 0.000
Au1 0.112 0.612 0.500
Au2 0.388 0.888 0.500
Au3 0.612 0.112 0.500
Au4 0.888 0.388 0.500
```

***

No. 3
Material: SmErAgGe
Method: DFT, PBE
State: optimized geometry

Computed properties:
Space-group type ... No. 216
Theoretical density ... 8.75 g cm⁻³
Total energy ... -4.70 eV per atom

CIF file:
```
data_SmErAgGe
_chemical_formula_sum 'Sm1 Er1 Ag1 Ge1'
_cell_length_a 5.113
_cell_length_b 5.113
_cell_length_c 5.113
_cell_angle_alpha 60.00
_cell_angle_beta 60.00
_cell_angle_gamma 60.00
_symmetry_space_group_name_H-M 'P 1'
_symmetry_Int_Tables_number 1
loop_
_symmetry_equiv_pos_as_xyz
'x,y,z'
loop_
_atom_site_label
_atom_site_fract_x
_atom_site_fract_y
_atom_site_fract_z
Sm1 0.000 0.000 0.000
Er1 0.500 0.500 0.500
Ag1 0.750 0.750 0.750
Ge1 0.250 0.250 0.250
```

***

No. 4
Material: AlGaPCl
Method: DFT, PBE
State: optimized geometry

Computed properties:
ΔE_f (raw) ... -114 kJ/mol of formula units
Space-group type ... No. 1
Theoretical density ... 2.85 g cm⁻³
E above lowest polymorph ... 278 meV/atom

CIF file:
```
data_AlGaPCl
_chemical_formula_sum 'Al1 Ga1 P1 Cl1'
_cell_length_a 3.438
_cell_length_b 3.663
_cell_length_c 7.762
_cell_angle_alpha 77.43
_cell_angle_beta 84.94
_cell_angle_gamma 89.99
_symmetry_space_group_name_H-M 'P 1'
_symmetry_Int_Tables_number 1
loop_
_symmetry_equiv_pos_as_xyz
'x,y,z'
loop_
_atom_site_label
_atom_site_fract_x
_atom_site_fract_y
_atom_site_fract_z
Al1 0.000 0.000 0.000
Ga1 0.054 0.623 0.732
P1 0.549 0.113 0.754
Cl1 0.457 0.899 0.218
```

***

No. 5
Material: Ac3GaIr
Method: DFT, PBE
State: optimized geometry

Computed properties:
Space-group type ... No. 221
Theoretical density ... 8.06 g cm⁻³
E above lowest polymorph ... 224 meV/atom

CIF file:
```
data_Ac3GaIr
_chemical_formula_sum 'Ac3 Ga1 Ir1'
_cell_length_a 5.791
_cell_length_b 5.791
_cell_length_c 5.791
_cell_angle_alpha 90.00
_cell_angle_beta 90.00
_cell_angle_gamma 90.00
_symmetry_space_group_name_H-M 'P 1'
_symmetry_Int_Tables_number 1
loop_
_symmetry_equiv_pos_as_xyz
'x,y,z'
loop_
_atom_site_label
_atom_site_fract_x
_atom_site_fract_y
_atom_site_fract_z
Ac1 0.000 0.000 0.500
Ac2 0.000 0.500 0.000
Ac3 0.500 0.000 0.000
Ga1 0.500 0.500 0.500
Ir1 0.000 0.000 0.000
```

***

No. 6
Material: Ca3GeB2Pd9
Method: DFT, PBE
State: optimized geometry

Computed properties:
Space-group type ... No. 164
Theoretical density ... 7.42 g cm⁻³
Total energy ... -5.31 eV per atom

CIF file:
```
data_Ca3GeB2Pd9
_chemical_formula_sum 'Ca3 Ge1 B2 Pd9'
_cell_length_a 5.874
_cell_length_b 5.874
_cell_length_c 8.773
_cell_angle_alpha 90.00
_cell_angle_beta 90.00
_cell_angle_gamma 120.00
_symmetry_space_group_name_H-M 'P 1'
_symmetry_Int_Tables_number 1
loop_
_symmetry_equiv_pos_as_xyz
'x,y,z'
loop_
_atom_site_label
_atom_site_fract_x
_atom_site_fract_y
_atom_site_fract_z
Ca1 0.000 0.000 0.000
Ca2 0.333 0.667 0.626
Ca3 0.667 0.333 0.374
Ge1 0.000 0.000 0.500
B1 0.333 0.667 0.149
B2 0.667 0.333 0.851
Pd1 0.000 0.500 0.000
Pd2 0.164 0.329 0.284
Pd3 0.164 0.836 0.284
Pd4 0.329 0.164 0.716
Pd5 0.500 0.000 0.000
Pd6 0.500 0.500 0.000
Pd7 0.671 0.836 0.284
Pd8 0.836 0.164 0.716
Pd9 0.836 0.671 0.716
```

***

No. 7
Material: HOsF6
Method: DFT, PBE
State: optimized geometry

Computed properties:
Space-group type ... No. 12
Theoretical density ... 4.95 g cm⁻³
Total energy ... -4.62 eV per atom

CIF file:
```
data_HOsF6
_chemical_formula_sum 'H1 Os1 F6'
_cell_length_a 4.976
_cell_length_b 4.976
_cell_length_c 5.229
_cell_angle_alpha 104.18
_cell_angle_beta 104.18
_cell_angle_gamma 116.59
_symmetry_space_group_name_H-M 'P 1'
_symmetry_Int_Tables_number 1
loop_
_symmetry_equiv_pos_as_xyz
'x,y,z'
loop_
_atom_site_label
_atom_site_fract_x
_atom_site_fract_y
_atom_site_fract_z
H1 0.000 0.000 0.000
Os1 0.500 0.500 0.500
F1 0.078 0.355 0.220
F2 0.291 0.291 0.712
F3 0.355 0.078 0.220
F4 0.645 0.922 0.780
F5 0.709 0.709 0.288
F6 0.922 0.645 0.780
```

***

No. 8
Material: Pm3ThC2
Method: DFT, PBE
State: optimized geometry

Computed properties:
Space-group type ... No. 12
Theoretical density ... 7.57 g cm⁻³
Total energy ... -6.85 eV per atom

CIF file:
```
data_Pm3ThC2
_chemical_formula_sum 'Pm6 Th2 C4'
_cell_length_a 8.627
_cell_length_b 8.627
_cell_length_c 12.709
_cell_angle_alpha 128.44
_cell_angle_beta 128.44
_cell_angle_gamma 24.57
_symmetry_space_group_name_H-M 'P 1'
_symmetry_Int_Tables_number 1
loop_
_symmetry_equiv_pos_as_xyz
'x,y,z'
loop_
_atom_site_label
_atom_site_fract_x
_atom_site_fract_y
_atom_site_fract_z
Pm1 0.138 0.138 0.199
Pm2 0.357 0.357 0.549
Pm3 0.358 0.358 0.050
Pm4 0.642 0.642 0.950
Pm5 0.643 0.643 0.451
Pm6 0.862 0.862 0.801
Th1 0.144 0.144 0.701
Th2 0.856 0.856 0.299
C1 0.250 0.250 0.628
C2 0.254 0.254 0.133
C3 0.746 0.746 0.867
C4 0.750 0.750 0.372
```

***

No. 9
Material: HfTa2Se
Method: DFT, PBE
State: optimized geometry

Computed properties:
ΔE_f (raw) ... 80 kJ/mol of formula units
Space-group type ... No. 122
Theoretical density ... 13.00 g cm⁻³

CIF file:
```
data_HfTa2Se
_chemical_formula_sum 'Hf2 Ta4 Se2'
_cell_length_a 10.555
_cell_length_b 10.555
_cell_length_c 10.555
_cell_angle_alpha 158.47
_cell_angle_beta 158.47
_cell_angle_gamma 30.63
_symmetry_space_group_name_H-M 'P 1'
_symmetry_Int_Tables_number 1
loop_
_symmetry_equiv_pos_as_xyz
'x,y,z'
loop_
_atom_site_label
_atom_site_fract_x
_atom_site_fract_y
_atom_site_fract_z
Hf1 0.000 0.000 0.000
Hf2 0.750 0.250 0.500
Ta1 0.128 0.625 0.003
Ta2 0.375 0.378 0.503
Ta3 0.622 0.125 0.997
Ta4 0.875 0.872 0.497
Se1 0.250 0.750 0.500
Se2 0.500 0.500 0.000
```

***

No. 10
Material: Zn2Ni2Pb
Method: DFT, PBE
State: optimized geometry

Computed properties:
Space-group type ... No. 127
Theoretical density ... 9.72 g cm⁻³
E above lowest polymorph ... 62 meV/atom

CIF file:
```
data_Zn2Ni2Pb
_chemical_formula_sum 'Zn4 Ni4 Pb2'
_cell_length_a 7.326
_cell_length_b 7.326
_cell_length_c 2.899
_cell_angle_alpha 90.00
_cell_angle_beta 90.00
_cell_angle_gamma 90.00
_symmetry_space_group_name_H-M 'P 1'
_symmetry_Int_Tables_number 1
loop_
_symmetry_equiv_pos_as_xyz
'x,y,z'
loop_
_atom_site_label
_atom_site_fract_x
_atom_site_fract_y
_atom_site_fract_z
Zn1 0.125 0.375 0.000
Zn2 0.375 0.875 0.000
Zn3 0.625 0.125 0.000
Zn4 0.875 0.625 0.000
Ni1 0.164 0.664 0.500
Ni2 0.336 0.164 0.500
Ni3 0.664 0.836 0.500
Ni4 0.836 0.336 0.500
Pb1 0.000 0.000 0.000
Pb2 0.500 0.500 0.000
```

***

No. 11
Material: Ba5Tl4I
Method: DFT, PBE
State: optimized geometry

Computed properties:
ΔE_f (raw) ... -565 kJ/mol of formula units
Space-group type ... No. 123
Theoretical density ... 6.66 g cm⁻³

CIF file:
```
data_Ba5Tl4I
_chemical_formula_sum 'Ba5 Tl4 I1'
_cell_length_a 4.286
_cell_length_b 4.286
_cell_length_c 22.130
_cell_angle_alpha 90.00
_cell_angle_beta 90.00
_cell_angle_gamma 90.00
_symmetry_space_group_name_H-M 'P 1'
_symmetry_Int_Tables_number 1
loop_
_symmetry_equiv_pos_as_xyz
'x,y,z'
loop_
_atom_site_label
_atom_site_fract_x
_atom_site_fract_y
_atom_site_fract_z
Ba1 0.000 0.000 0.000
Ba2 0.000 0.000 0.195
Ba3 0.000 0.000 0.385
Ba4 0.000 0.000 0.615
Ba5 0.000 0.000 0.805
Tl1 0.500 0.500 0.100
Tl2 0.500 0.500 0.291
Tl3 0.500 0.500 0.709
Tl4 0.500 0.500 0.900
I1 0.500 0.500 0.500
```

***

No. 12
Material: Dy3Al2Au7
Method: DFT, PBE
State: optimized geometry

Computed properties:
Space-group type ... No. 139
Theoretical density ... 12.70 g cm⁻³
Total energy ... -4.30 eV per atom

CIF file:
```
data_Dy3Al2Au7
_chemical_formula_sum 'Dy3 Al2 Au7'
_cell_length_a 14.337
_cell_length_b 14.337
_cell_length_c 14.337
_cell_angle_alpha 163.03
_cell_angle_beta 163.03
_cell_angle_gamma 24.09
_symmetry_space_group_name_H-M 'P 1'
_symmetry_Int_Tables_number 1
loop_
_symmetry_equiv_pos_as_xyz
'x,y,z'
loop_
_atom_site_label
_atom_site_fract_x
_atom_site_fract_y
_atom_site_fract_z
Dy1 0.000 0.000 0.000
Dy2 0.175 0.175 0.000
Dy3 0.825 0.825 0.000
Al1 0.369 0.369 0.000
Al2 0.631 0.631 0.000
Au1 0.080 0.580 0.500
Au2 0.280 0.280 0.000
Au3 0.420 0.920 0.500
Au4 0.500 0.500 0.000
Au5 0.580 0.080 0.500
Au6 0.720 0.720 0.000
Au7 0.920 0.420 0.500
```

***

No. 13
Material: NaInSnBi
Method: DFT, PBE
State: optimized geometry

Computed properties:
Space-group type ... No. 216
Theoretical density ... 6.74 g cm⁻³
Total energy ... -3.05 eV per atom

CIF file:
```
data_NaInSnBi
_chemical_formula_sum 'Na1 In1 Sn1 Bi1'
_cell_length_a 5.454
_cell_length_b 5.454
_cell_length_c 5.454
_cell_angle_alpha 60.00
_cell_angle_beta 60.00
_cell_angle_gamma 60.00
_symmetry_space_group_name_H-M 'P 1'
_symmetry_Int_Tables_number 1
loop_
_symmetry_equiv_pos_as_xyz
'x,y,z'
loop_
_atom_site_label
_atom_site_fract_x
_atom_site_fract_y
_atom_site_fract_z
Na1 0.000 0.000 0.000
In1 0.750 0.750 0.750
Sn1 0.500 0.500 0.500
Bi1 0.250 0.250 0.250
```

***

No. 14
Material: Li2TaRu
Method: DFT, PBE
State: optimized geometry

Computed properties:
Space-group type ... No. 123
Theoretical density ... 7.91 g cm⁻³
E above lowest polymorph ... 345 meV/atom

CIF file:
```
data_Li2TaRu
_chemical_formula_sum 'Li2 Ta1 Ru1'
_cell_length_a 2.594
_cell_length_b 2.594
_cell_length_c 9.231
_cell_angle_alpha 90.00
_cell_angle_beta 90.00
_cell_angle_gamma 90.00
_symmetry_space_group_name_H-M 'P 1'
_symmetry_Int_Tables_number 1
loop_
_symmetry_equiv_pos_as_xyz
'x,y,z'
loop_
_atom_site_label
_atom_site_fract_x
_atom_site_fract_y
_atom_site_fract_z
Li1 0.000 0.000 0.227
Li2 0.000 0.000 0.773
Ta1 0.500 0.500 0.500
Ru1 0.500 0.500 0.000
```

***

No. 15
Material: SrAgBr2Cl
Method: DFT, PBE
State: optimized geometry

Computed properties:
ΔE_f (raw) ... -719 kJ/mol of formula units
Space-group type ... No. 11
Theoretical density ... 3.46 g cm⁻³

CIF file:
```
data_SrAgBr2Cl
_chemical_formula_sum 'Sr2 Ag2 Br4 Cl2'
_cell_length_a 8.104
_cell_length_b 4.636
_cell_length_c 10.195
_cell_angle_alpha 90.00
_cell_angle_beta 101.81
_cell_angle_gamma 90.00
_symmetry_space_group_name_H-M 'P 1'
_symmetry_Int_Tables_number 1
loop_
_symmetry_equiv_pos_as_xyz
'x,y,z'
loop_
_atom_site_label
_atom_site_fract_x
_atom_site_fract_y
_atom_site_fract_z
Sr1 0.249 0.250 0.439
Sr2 0.751 0.750 0.561
Ag1 0.048 0.750 0.086
Ag2 0.952 0.250 0.914
Br1 0.015 0.250 0.658
Br2 0.240 0.250 0.115
Br3 0.760 0.750 0.885
Br4 0.985 0.750 0.342
Cl1 0.398 0.750 0.593
Cl2 0.602 0.250 0.407
```

***

No. 16
Material: ZrSiO2F
Method: DFT, PBE
State: optimized geometry

Computed properties:
ΔE_f (raw) ... -651 kJ/mol of formula units
Space-group type ... No. 123
Theoretical density ... 4.73 g cm⁻³

CIF file:
```
data_ZrSiO2F
_chemical_formula_sum 'Zr1 Si1 O2 F1'
_cell_length_a 3.525
_cell_length_b 3.525
_cell_length_c 4.814
_cell_angle_alpha 90.00
_cell_angle_beta 90.00
_cell_angle_gamma 90.00
_symmetry_space_group_name_H-M 'P 1'
_symmetry_Int_Tables_number 1
loop_
_symmetry_equiv_pos_as_xyz
'x,y,z'
loop_
_atom_site_label
_atom_site_fract_x
_atom_site_fract_y
_atom_site_fract_z
Zr1 0.000 0.000 0.000
Si1 0.500 0.500 0.500
O1 0.000 0.500 0.500
O2 0.500 0.000 0.500
F1 0.500 0.500 0.000
```

***

No. 17
Material: Tm3Al9Au2
Method: DFT, PBE
State: optimized geometry

Computed properties:
Space-group type ... No. 71
Theoretical density ... 7.15 g cm⁻³
Total energy ... -4.32 eV per atom

CIF file:
```
data_Tm3Al9Au2
_chemical_formula_sum 'Tm3 Al9 Au2'
_cell_length_a 8.239
_cell_length_b 8.239
_cell_length_c 8.239
_cell_angle_alpha 150.04
_cell_angle_beta 103.20
_cell_angle_gamma 84.56
_symmetry_space_group_name_H-M 'P 1'
_symmetry_Int_Tables_number 1
loop_
_symmetry_equiv_pos_as_xyz
'x,y,z'
loop_
_atom_site_label
_atom_site_fract_x
_atom_site_fract_y
_atom_site_fract_z
Tm1 0.000 0.000 0.000
Tm2 0.309 0.309 0.000
Tm3 0.691 0.691 0.000
Al1 0.034 0.659 0.375
Al2 0.144 0.864 0.280
Al3 0.284 0.659 0.625
Al4 0.416 0.136 0.280
Al5 0.500 0.000 0.500
Al6 0.584 0.864 0.720
Al7 0.716 0.341 0.375
Al8 0.856 0.136 0.720
Al9 0.966 0.341 0.625
Au1 0.294 0.500 0.794
Au2 0.706 0.500 0.206
```

***

No. 18
Material: La5PmEr6
Method: DFT, PBE
State: optimized geometry

Computed properties:
Space-group type ... No. 12
Theoretical density ... 7.62 g cm⁻³
Total energy ... -4.71 eV per atom

CIF file:
```
data_La5PmEr6
_chemical_formula_sum 'La5 Pm1 Er6'
_cell_length_a 9.591
_cell_length_b 9.591
_cell_length_c 5.214
_cell_angle_alpha 105.72
_cell_angle_beta 105.72
_cell_angle_gamma 62.03
_symmetry_space_group_name_H-M 'P 1'
_symmetry_Int_Tables_number 1
loop_
_symmetry_equiv_pos_as_xyz
'x,y,z'
loop_
_atom_site_label
_atom_site_fract_x
_atom_site_fract_y
_atom_site_fract_z
La1 0.000 0.000 0.000
La2 0.167 0.167 0.667
La3 0.334 0.334 0.334
La4 0.666 0.666 0.666
La5 0.833 0.833 0.333
Pm1 0.500 0.500 0.000
Er1 0.084 0.583 0.834
Er2 0.251 0.749 0.500
Er3 0.417 0.916 0.166
Er4 0.583 0.084 0.834
Er5 0.749 0.251 0.500
Er6 0.916 0.417 0.166
```

***

No. 19
Material: Mn2SnRhC
Method: DFT, PBE
State: optimized geometry

Computed properties:
Space-group type ... No. 123
Theoretical density ... 8.86 g cm⁻³
Total energy ... -7.82 eV per atom

CIF file:
```
data_Mn2SnRhC
_chemical_formula_sum 'Mn2 Sn1 Rh1 C1'
_cell_length_a 3.903
_cell_length_b 3.903
_cell_length_c 4.224
_cell_angle_alpha 90.00
_cell_angle_beta 90.00
_cell_angle_gamma 90.00
_symmetry_space_group_name_H-M 'P 1'
_symmetry_Int_Tables_number 1
loop_
_symmetry_equiv_pos_as_xyz
'x,y,z'
loop_
_atom_site_label
_atom_site_fract_x
_atom_site_fract_y
_atom_site_fract_z
Mn1 0.000 0.500 0.000
Mn2 0.500 0.000 0.000
Sn1 0.000 0.000 0.500
Rh1 0.500 0.500 0.500
C1 0.500 0.500 0.000
```

***

No. 20
Material: SrBeBr2
Method: DFT, PBE
State: optimized geometry

Computed properties:
ΔE_f (raw) ... -280 kJ/mol of formula units
Space-group type ... No. 160
Theoretical density ... 3.26 g cm⁻³
E above lowest polymorph ... 95 meV/atom

CIF file:
```
data_SrBeBr2
_chemical_formula_sum 'Sr1 Be1 Br2'
_cell_length_a 9.404
_cell_length_b 9.404
_cell_length_c 9.404
_cell_angle_alpha 25.00
_cell_angle_beta 25.00
_cell_angle_gamma 25.00
_symmetry_space_group_name_H-M 'P 1'
_symmetry_Int_Tables_number 1
loop_
_symmetry_equiv_pos_as_xyz
'x,y,z'
loop_
_atom_site_label
_atom_site_fract_x
_atom_site_fract_y
_atom_site_fract_z
Sr1 0.000 0.000 0.000
Be1 0.250 0.250 0.250
Br1 0.542 0.542 0.542
Br2 0.735 0.735 0.735
```